AlVO2F: optimized geometry, PBE with a Hubbard U.

Cell lengths 3.7499, 3.7499, 3.6019 Å; angles 90.00, 90.00, 90.00 degrees
Last column: nearest neighbours and their distance in Å.
Space group P4/mmm (No. 123)
Asymmetric unit:
Al1 0.0000 0.0000 0.0000  2 F 1.80, 4 O 1.87
V1 0.5000 0.5000 0.5000  8 O 2.60, 4 F 2.65
O1 0.0000 0.5000 0.0000  2 Al 1.87
F1 0.0000 0.0000 0.5000  2 Al 1.80

Summary:
* DFT total energy: -6.7672 eV per atom
* crystal system: tetragonal
* total moment: 3.000 μB/f.u.